Entry from the Alexandria database: a geometry-optimized Rb2ThBi2O6 structure (PBE).

Cell lengths 6.4184, 6.4184, 8.1224 Å; angles 97.96, 97.96, 59.86 degrees
Atoms (fractional coordinates):
Rb 0.1846 0.1846 0.1508
Rb 0.8154 0.8154 0.8492
Th 0.5000 0.5000 0.0000
Bi 0.1327 0.1327 0.7054
Bi 0.8673 0.8673 0.2946
O 0.1721 0.6901 0.1595
O 0.3098 0.3098 0.8372
O 0.3099 0.8279 0.8405
O 0.6901 0.1721 0.1595
O 0.6902 0.6902 0.1628
O 0.8279 0.3099 0.8405

Results
- DOS at the Fermi energy (states/eV per cell) = 0.00
- calculated volume (Å³/cell) = 286
- E_form (uncorrected) (meV per atom) = -1965.8